TeHOs | Alexandria | PBE | optimized geometry; calculated total energy = -5.51 eV/atom; volume = 105.80 Å³/cell
1.0
-2.109 1.407 -1.514
-2.615 -2.865 0.981
-1.195 3.871 8.121
Os H Te
2 2 2
Direct
0.276 0.250 0.052
0.724 0.750 0.948
0.706 0.249 0.915
0.294 0.751 0.085
0.583 0.750 0.658
0.417 0.250 0.342


TeHOs2 | Alexandria | PBE | optimized geometry; calculated total energy = -6.14 eV/atom; ΔE to the lowest computed polymorph = 1.70 eV/f.u.; volume = 56.02 Å³/cell
1.0
0.000 3.037 3.037
3.037 0.000 3.037
3.037 3.037 0.000
Os Te H
2 1 1
Direct
0.750 0.750 0.750
0.250 0.250 0.250
0.500 0.500 0.500
0.000 0.000 0.000


TeHOs2 | Alexandria | PBE | optimized geometry; calculated total energy = -6.56 eV/atom; ΔE to the lowest computed polymorph = 0.00 eV/f.u.; volume = 118.45 Å³/cell
1.0
4.992 0.000 0.000
0.000 4.992 0.000
2.496 2.496 4.754
Os H Te
4 2 2
Direct
0.375 0.518 0.750
0.482 0.125 0.250
0.268 0.625 0.250
0.875 0.732 0.750
0.500 0.500 0.000
0.250 0.750 0.500
0.000 0.000 0.000
0.750 0.250 0.500


Th3TeHOs | Alexandria | PBE | optimized geometry; calculated total energy = -7.23 eV/atom; volume = 319.37 Å³/cell
1.0
-3.661 0.749 -1.776
-3.740 -5.995 5.181
-0.918 7.391 5.007
Th H Os Te
6 2 2 2
Direct
0.250 0.794 0.464
0.750 0.458 0.177
0.250 0.120 0.874
0.750 0.880 0.126
0.250 0.542 0.823
0.750 0.206 0.536
0.750 0.931 0.408
0.250 0.069 0.592
0.250 0.674 0.150
0.750 0.326 0.850
0.250 0.180 0.252
0.750 0.820 0.748


V2TeHOs | Alexandria | PBE | optimized geometry; calculated total energy = -5.80 eV/atom; volume = 118.90 Å³/cell
1.0
-1.259 2.024 -4.289
3.580 -2.549 -2.253
-3.137 -3.684 -0.817
H V Os Te
1 2 1 1
Direct
0.500 0.500 0.500
0.000 0.000 0.500
0.500 0.000 0.000
0.000 0.000 0.000
0.000 0.500 0.000


Th6HOs2 | Alexandria | PBE | optimized geometry; calculated total energy = -8.08 eV/atom; volume = 462.10 Å³/cell
1.0
6.380 0.000 -0.099
0.000 7.238 0.000
0.165 0.000 10.004
Th Os H
12 4 2
Direct
0.347 0.824 0.563
0.343 0.824 0.937
0.157 0.324 0.563
0.657 0.176 0.063
0.839 0.956 0.751
0.161 0.044 0.249
0.661 0.456 0.749
0.843 0.676 0.437
0.339 0.544 0.251
0.153 0.324 0.937
0.847 0.676 0.063
0.653 0.176 0.437
0.077 0.624 0.748
0.577 0.876 0.248
0.923 0.376 0.252
0.423 0.124 0.752
0.000 0.000 0.500
0.500 0.500 0.000


ThH6Os | Alexandria | PBE | optimized geometry; calculated total energy = -5.25 eV/atom; volume = 67.98 Å³/cell
1.0
-3.362 -2.788 1.204
0.105 -4.351 -1.258
0.797 -3.263 3.192
H Os Th
6 1 1
Direct
0.446 0.894 0.766
0.106 0.554 0.234
0.894 0.894 0.766
0.894 0.446 0.766
0.106 0.106 0.234
0.554 0.106 0.234
0.000 0.000 0.000
0.500 0.500 0.500


ThH7Os2 | Alexandria | PBE | optimized geometry; calculated total energy = -5.36 eV/atom; volume = 85.68 Å³/cell
1.0
-2.498 -1.547 1.890
2.689 -4.532 -0.156
0.880 3.451 3.987
Os H Th
2 7 1
Direct
0.500 0.682 0.365
0.500 0.318 0.635
0.500 0.320 0.291
0.000 0.350 0.700
0.500 0.971 0.291
0.000 0.650 0.300
0.500 0.500 0.000
0.500 0.029 0.709
0.500 0.680 0.709
0.000 0.000 0.000


ThH3Os | Alexandria | PBE | optimized geometry; calculated total energy = -5.94 eV/atom; volume = 53.46 Å³/cell
1.0
-1.169 -0.066 -3.581
-2.456 -2.727 0.852
-2.607 2.599 0.803
H Os Th
3 1 1
Direct
0.000 0.000 0.500
0.500 0.000 0.000
0.000 0.500 0.000
0.000 0.000 0.000
0.500 0.500 0.500


ThZnH6Os2 | Alexandria | PBE | optimized geometry; calculated total energy = -5.31 eV/atom; volume = 94.60 Å³/cell
1.0
-1.305 -4.138 1.321
2.090 -3.672 -1.650
3.742 -2.422 3.896
H Th Os Zn
6 1 2 1
Direct
0.433 0.957 0.178
0.043 0.567 0.822
0.567 0.043 0.822
0.957 0.433 0.178
0.567 0.567 0.822
0.433 0.433 0.178
0.000 0.000 0.000
0.202 0.202 0.394
0.798 0.798 0.606
0.500 0.500 0.500


Ti2HOs | Alexandria | PBE | optimized geometry; calculated total energy = -7.50 eV/atom; ΔE to the lowest computed polymorph = 1.26 eV/f.u.; volume = 54.35 Å³/cell
1.0
-0.026 -2.686 3.296
-1.455 1.289 3.781
-3.688 -1.507 1.485
Ti Os H
2 1 1
Direct
0.250 0.250 0.250
0.750 0.750 0.750
0.500 0.500 0.500
0.000 0.000 0.000


Ti2H2Os | Alexandria | PBE | optimized geometry; calculated total energy = -7.30 eV/atom; ΔE to the lowest computed polymorph = 0.00 eV/f.u.; volume = 51.32 Å³/cell
1.0
3.024 0.000 0.000
0.000 3.024 0.000
1.512 1.512 5.611
Os Ti H
1 2 2
Direct
0.000 0.000 0.000
0.642 0.642 0.716
0.358 0.358 0.284
0.250 0.750 0.500
0.750 0.250 0.500


- Among the records above, which one has the highest calculated total energy?
  ThH6Os